Run P
The following is a GGA-PBE calculation of a geometry-optimized HfScC structure, from Alexandria.

Cell and atoms, written as extended XYZ:
```
12
Lattice="3.344 0.000 0.000 0.000 5.574 0.000 0.000 0.000 10.832" Properties=species:S:1:pos:R:3 pbc="T T T"
Hf 0.836 5.005 7.989
Hf 2.508 0.569 2.843
Hf 2.508 2.218 8.259
Hf 0.836 3.356 2.573
Sc 0.836 1.318 5.511
Sc 2.508 4.256 5.321
Sc 2.508 4.105 10.737
Sc 0.836 1.469 0.095
C 0.836 5.163 3.993
C 2.508 0.411 6.839
C 2.508 2.376 1.423
C 0.836 3.198 9.409
```

DOS at the Fermi energy = 1.04 states/eV per atom
Space-group type = Pnma, No. 62
Magnetic moment = 0.000 μB/cell
Crystal system = orthorhombic



Run Q
The following is a GGA-PBE calculation of a geometry-optimized HfScC structure, from Alexandria.

Cell and atoms, written as extended XYZ:
```
3
Lattice="5.458 0.000 0.000 0.000 3.308 0.000 0.000 -1.654 2.865" Properties=species:S:1:pos:R:3 pbc="T T T"
Sc 3.093 1.654 0.955
C 1.764 0.000 1.910
Hf 0.601 0.000 0.000
```

DOS at the Fermi energy = 0.93 states/eV per atom
Space-group type = P3m1, No. 156
Magnetic moment = 0.000 μB/cell
Crystal system = trigonal



Computed energies relative to the best structure, in meV/atom: run P 22; run Q 0